A geometry-optimized Sb3PtO structure. Source: Alexandria via LeMat-Bulk, functional PBE.

The space group is Pm-3m (No. 221) and the conventional cell measures 4.692, 4.692 and 4.692 Å, with angles of 90.00, 90.00 and 90.00 degrees. Symmetry generates all atoms from Sb at (0.000, 0.000, 0.500), Pt at (0.500, 0.500, 0.500) and O at (0.000, 0.000, 0.000).

The calculation puts the magnetization at 0.00 Bohr magnetons per cell. For the formation energy without anion corrections, the calculation gives 1.10 kcal/mol of atoms. As for the relative energy among the computed polymorphs: 0.0 meV/atom.